VASP calculation (PBE with a Hubbard U) on crystalline Mg2VTeO6 at its relaxed geometry.

Unit cell a=5.008 b=5.539 c=5.539 alpha=90.00 beta=90.00 gamma=90.00
Site moments in Bohr magnetons follow the coordinates.
Atoms (fractional coordinates):
Mg 0.883 0.500 0.000  0.00
Mg 0.883 0.000 0.500  0.00
V 0.608 0.000 0.000  1.07
Te 0.587 0.500 0.500  0.00
O 0.750 0.238 0.238  -0.01
O 0.750 0.238 0.762  -0.01
O 0.212 0.500 0.500  -0.01
O 0.274 0.000 0.000  -0.09
O 0.750 0.762 0.762  -0.01
O 0.750 0.762 0.238  -0.01

Output
The calculated total energy is -6.076 eV/atom. As for the space group: P4mm, No. 99. The density of states at the Fermi level comes out at 0.00 states/eV per atom.